Computed, not measured: a relaxed Mg14GaB crystal at the GGA-PBE level of DFT.

a = 6.2631 Å, b = 6.2631 Å, c = 9.8246 Å
α = 90.00°, β = 90.00°, γ = 120.00°
Closest atoms and distances in Å follow each position.
Space group P-6m2 (No. 187)
Inequivalent atoms, fractional coordinates:
Mg1 0.0000 0.0000 0.2487 [2 per cell]  12 Mg 3.04-3.14
Mg2 0.0126 0.5063 0.2639 [6 per cell]  1 B 2.90, 8 Mg 2.97-3.17, 1 Ga 3.12
Mg3 0.3267 0.1633 0.5000 [3 per cell]  10 Mg 2.97-3.19, 2 B 3.13
Mg4 0.3375 0.1688 0.0000 [3 per cell]  10 Mg 3.05-3.17, 2 Ga 3.13
Ga1 0.3333 0.6667 0.0000 [1 per cell]  12 Mg 3.12-3.13
B1 0.3333 0.6667 0.5000 [1 per cell]  12 Mg 2.90-3.13

The distance to the lowest polymorph of the same formula comes out at 26.8 meV/atom. The value obtained for the formation energy is 2.62 eV per formula unit.